Entry from Alexandria: a geometry-optimized Ce3MnO structure (GGA+U).

The energy is -34.95 eV for the cell shown. The symmetry is Pm-3m, No. 221. The calculation puts the density of states at the Fermi level at 11.76 states/eV/f.u.

Cell lengths 4.891, 4.891, 4.891 Å; angles 90.00, 90.00, 90.00 degrees
Last column: magnetic moment on the atom in μB.
Fractional positions:
Mn: 0.500 0.500 0.500  4.49
O: 0.000 0.000 0.000  0.02
Ce: 0.000 0.500 0.000  -0.75
Ce: 0.000 0.000 0.500  -0.75
Ce: 0.500 0.000 0.000  -0.75